Sn5Hg12Br3 | PBE | relaxed

Cell: 17.809 17.809 17.809 Å, 90.00 90.00 90.00°
Space group Ia-3d (No. 230)
Symmetry-distinct sites (fractional):
Sn (0.000, 0.000, 0.000) x16
Sn (0.000, 0.250, 0.375) x24
Hg (0.046, 0.077, 0.635) x96
Br (0.000, 0.250, 0.125) x24

## Properties
total DFT energy (no corrections) = -1.404 eV/atom

***

SnHg3Br | PBE | relaxed

Cell: 5.780 5.780 5.780 Å, 90.00 90.00 90.00°
Space group Pm-3m (No. 221)
Symmetry-distinct sites (fractional):
Sn (0.000, 0.000, 0.000) x1
Hg (0.000, 0.500, 0.500) x3
Br (0.500, 0.500, 0.500) x1

## Properties
total DFT energy (no corrections) = -0.798 eV/atom
polymorph energy (0 for the lowest one) = 0.602 eV per atom

***

total DFT energy (no corrections) of number 1 (Sn5Hg12Br3)?
-1.404 eV/atom

***

total DFT energy (no corrections) of number 2 (SnHg3Br)?
-0.798 eV/atom

***

Which value of total DFT energy (no corrections) does entry 1 give?
-1.404 eV/atom

***

Which of these has the lowest total DFT energy (no corrections)?
Sn5Hg12Br3